CeSnRu | meta-GGA SCAN | PBEsol geometry

Calculated values
Formation enthalpy at 0 K in eV/atom: -0.73
Space group: C2/m, No. 12

Structure (POSCAR):
```
CeSnRu
1.0
4.743 0.000 0.000
0.000 4.960 -0.022
-2.371 -1.453 5.582
Ce Ru Sn
2 2 2
Cartesian
0.000 3.708 1.500
2.371 -0.201 4.060
2.371 2.498 3.446
0.000 1.009 2.114
2.371 1.310 0.924
0.000 2.197 4.636
```